Record 1
Here is a relaxed Bi6Pd3Pt crystal from Alexandria via LeMat-Bulk. Energies are from PBE-GGA.

Geometry as POSCAR:
```
Bi6Pd3Pt
1.0
8.247 0.120 0.123
-0.059 8.247 0.123
-0.059 -0.060 8.248
Pd Bi Pt
6 12 2
Cartesian
3.616 7.720 6.469 Pd
0.489 1.924 4.569 Pd
7.640 6.384 3.925 Pd
1.913 4.556 0.632 Pd
4.513 0.587 2.025 Pd
6.216 3.752 7.862 Pd
6.721 3.947 5.142 Bi
4.906 6.829 4.060 Bi
1.408 4.360 3.352 Bi
3.801 4.990 6.917 Bi
7.336 0.766 2.693 Bi
0.607 2.529 7.408 Bi
7.522 5.779 1.086 Bi
3.223 1.479 4.434 Bi
4.329 3.318 1.577 Bi
2.515 7.392 0.826 Bi
0.794 7.541 5.801 Bi
5.614 0.916 7.668 Bi
0.000 0.000 0.000 Pt
4.065 4.154 4.247 Pt
```

Values from the calculation:
**Total DFT energy (no corrections)**: -4.6430 eV/atom
**Formation energy from the elements**: -0.15 eV/atom
**Magnetization**: 0.00 μB per formula unit

***

Record 2
Here is a relaxed Hf4NbPb2 crystal from Alexandria via LeMat-Bulk. Energies are from PBE-GGA.

Geometry as POSCAR:
```
Hf4NbPb2
1.0
-3.277 5.757 3.677
-3.304 -3.885 3.138
6.780 -3.390 2.942
Pb Hf Nb
4 8 2
Cartesian
4.820 -3.096 4.100 Pb
0.654 -0.491 2.938 Pb
-4.621 1.577 5.657 Pb
-0.455 -1.027 6.819 Pb
2.195 -2.138 5.407 Hf
2.494 -2.625 2.233 Hf
-0.361 2.542 2.797 Hf
3.432 -5.224 5.717 Hf
-3.233 3.705 4.040 Hf
-1.996 0.620 4.349 Hf
-2.295 1.106 7.523 Hf
0.560 -4.060 6.960 Hf
-0.896 -2.567 4.448 Nb
1.095 1.049 5.309 Nb
```

Values from the calculation:
**Total DFT energy (no corrections)**: -8.0224 eV/atom
**Formation energy from the elements**: 0.16 eV/atom
**Magnetization**: 0.00 μB per formula unit